Compound: Ta3As
Source: Alexandria
Functional: GGA-PBE
Structure: relaxed

a b c (Å): 2.975 2.975 8.512
angles (deg): 90.00 90.00 109.63
Positions (direct):
Ta 0.000 0.000 0.000
Ta 0.500 0.500 0.265
Ta 0.500 0.500 0.735
As 0.000 0.000 0.500

raw total energy = -10.205 eV per atom